4
Lattice="5.3440 0.0000 0.0000 2.6720 4.6280 0.0000 2.6720 1.5427 4.3634" Properties=species:S:1:pos:R:3 comment="TbCeYAl, optimized geometry, DFT GGA-PBE" total_energy_ev_per_fu=-20.9 space_group="No. 216" pbc="T T T"
Y 8.0160 4.6280 3.2725
Tb 5.3440 3.0854 2.1817
Al 0.0000 0.0000 0.0000
Ce 2.6720 1.5427 1.0908